1.
LiTc2Ru, optimized geometry, DFT PBE; energy relative to the lowest polymorph listed for this composition = 0.06 eV/f.u.; formation energy = 0.18 eV per atom; volume = 54.6 Å³ per cell; DOS(E_F) = 3.42 states/eV per cell
1.0
-3.7670 -0.7637 -1.1976
-0.5429 -1.0825 2.3980
-1.9036 3.6407 3.6662
Ru Tc Li
1 2 1
Cartesian
-3.7184 1.5368 3.9494
-0.0211 0.0266 0.0495
-1.2022 1.2525 2.9827
-2.4951 0.2577 0.9173


2.
Tb3Dy4Mg, optimized geometry, DFT PBE; energy relative to the lowest polymorph listed for this composition = 0.00 eV/f.u.; formation energy = 0.00 eV per atom; volume = 493.4 Å³ per cell; DOS(E_F) = 22.04 states/eV per cell
1.0
-2.1613 -4.4401 -3.7347
-0.0610 -4.5512 5.4460
-10.5221 3.0658 2.4442
Tb Dy Mg
6 8 2
Cartesian
-10.1036 -4.8538 1.5841
-5.5790 -0.7674 2.7386
-4.7197 -6.4225 0.3334
-1.4142 -5.6842 1.0416
-8.8852 -1.5591 2.0942
-3.7470 -3.0562 0.9006
-5.6210 -3.0784 5.4564
-6.6974 -1.9609 -0.5789
-1.3949 -3.4198 -1.7154
-0.4017 -4.7082 4.1761
-8.9371 -3.8553 4.7575
-3.7963 -5.3532 3.5633
-4.7112 -4.2090 -2.3996
-10.0924 -2.6411 -1.1496
-6.6969 -4.1795 2.2060
-0.3401 -2.3620 1.4986


3.
LaMg2CoPb, optimized geometry, DFT PBE; energy relative to the lowest polymorph listed for this composition = 0.06 eV/f.u.; formation energy = -0.10 eV per atom; volume = 120.1 Å³ per cell; DOS(E_F) = 2.79 states/eV per cell
1.0
-0.8167 -2.3803 -4.2040
2.5659 -3.8263 1.6680
-4.1791 -1.9638 1.9237
Pb Mg La Co
1 2 1 1
Cartesian
-2.0895 -0.9819 0.9619
1.2829 -1.9132 0.8340
-0.4083 -1.1902 -2.1020
-1.2149 -4.0852 -0.3061
0.0000 0.0000 0.0000


4.
WI2Br, optimized geometry, DFT PBE; energy relative to the lowest polymorph listed for this composition = 0.00 eV/f.u.; volume = 296.0 Å³ per cell; DOS(E_F) = 7.45 states/eV per cell
1.0
-2.2281 -4.2869 -5.9173
5.8827 -4.7219 1.2058
-1.0508 -7.2967 0.7509
Br I W
2 4 2
Cartesian
3.3296 -8.2615 -0.1995
1.8273 -4.5044 -2.3558
2.9214 -13.7659 -3.4546
0.0708 -8.4402 -1.3085
3.3293 -4.9384 0.7163
-1.1137 -5.4666 -3.8746
0.0000 0.0000 0.0000
-0.7258 -8.0440 -3.7611


> Look up the energy relative to the lowest polymorph listed for this composition of the second one.

0.00 eV/f.u.